Compound: TmN2
Source: OQMD via LeMat-Bulk
Functional: GGA-PBE
Structure: optimized geometry

Unit cell a=5.110 b=5.110 c=3.699 alpha=90.00 beta=90.00 gamma=90.00
Site moments in Bohr magnetons follow the coordinates.
Positions (direct):
N 0.686 0.686 0.000  1.01
N 0.814 0.186 0.500  1.03
N 0.186 0.814 0.500  1.03
N 0.314 0.314 0.000  1.01
Tm 0.500 0.500 0.500  0.30
Tm 0.000 0.000 0.000  0.27



Compound: HfCuReGe
Source: OQMD via LeMat-Bulk
Functional: GGA-PBE
Structure: optimized geometry

Calculated values
ΔE to the lowest computed polymorph: 0.000 eV/atom

Unit cell a=4.462 b=4.462 c=4.462 alpha=60.00 beta=60.00 gamma=60.00
Positions (direct):
Cu 0.750 0.750 0.750
Re 0.250 0.250 0.250
Hf 0.500 0.500 0.500
Ge 0.000 0.000 0.000



Compound: MgPd
Source: OQMD via LeMat-Bulk
Functional: GGA-PBE
Structure: optimized geometry

Unit cell a=9.770 b=2.936 c=4.567 alpha=90.00 beta=90.00 gamma=90.00
Positions (direct):
Pd 0.415 0.000 0.000
Pd 0.502 0.500 0.500
Pd 0.154 0.500 0.000
Pd 0.762 0.000 0.500
Mg 0.002 0.500 0.500
Mg 0.646 0.500 0.000
Mg 0.915 0.000 0.000
Mg 0.271 0.000 0.500



Compound: MgSiNiOs
Source: OQMD via LeMat-Bulk
Functional: GGA-PBE
Structure: optimized geometry

Unit cell a=4.252 b=4.252 c=4.252 alpha=60.00 beta=60.00 gamma=60.00
Positions (direct):
Mg 0.250 0.250 0.250
Os 0.500 0.500 0.500
Si 0.000 0.000 0.000
Ni 0.750 0.750 0.750



Compound: NaTmF4
Source: OQMD via LeMat-Bulk
Functional: GGA-PBE
Structure: optimized geometry

Unit cell a=3.679 b=3.679 c=5.293 alpha=90.00 beta=90.00 gamma=90.00
Positions (direct):
Na 0.000 0.000 0.000
F 0.000 0.500 0.735
F 0.500 0.000 0.265
F 0.000 0.500 0.265
F 0.500 0.000 0.735
Tm 0.500 0.500 0.500



Compound: LiGdSn
Source: OQMD via LeMat-Bulk
Functional: GGA-PBE
Structure: optimized geometry

Unit cell a=4.742 b=4.742 c=10.894 alpha=90.00 beta=90.00 gamma=120.00
Positions (direct):
Gd 0.000 0.000 0.665
Gd 0.000 0.000 0.000
Gd 0.000 0.000 0.335
Li 0.333 0.667 0.808
Li 0.667 0.333 0.500
Li 0.333 0.667 0.192
Sn 0.667 0.333 0.171
Sn 0.667 0.333 0.829
Sn 0.333 0.667 0.500



Compound: Hf3TlB4
Source: OQMD via LeMat-Bulk
Functional: GGA-PBE
Structure: optimized geometry

Unit cell a=3.117 b=3.374 c=10.236 alpha=90.00 beta=90.00 gamma=90.00
Positions (direct):
Hf 0.000 0.500 0.500
Hf 0.500 0.500 0.771
Hf 0.500 0.500 0.229
B 0.500 0.000 0.405
B 0.500 0.000 0.595
B 0.000 0.000 0.325
B 0.000 0.000 0.675
Tl 0.000 0.000 0.000



Compound: NaFeSiSb
Source: OQMD via LeMat-Bulk
Functional: GGA-PBE
Structure: optimized geometry

Calculated values
ΔE to the lowest computed polymorph: 0.183 eV/atom

Unit cell a=4.748 b=4.748 c=4.748 alpha=60.00 beta=60.00 gamma=60.00
Positions (direct):
Fe 0.000 0.000 0.000
Sb 0.250 0.250 0.250
Si 0.500 0.500 0.500
Na 0.750 0.750 0.750



Compound: NdTaN2O
Source: OQMD via LeMat-Bulk
Functional: GGA-PBE
Structure: optimized geometry

Unit cell a=7.943 b=8.151 c=11.183 alpha=90.00 beta=134.74 gamma=90.00
Positions (direct):
O 0.426 0.751 0.002
O 0.575 0.750 0.826
O 0.574 0.251 0.498
O 0.426 0.749 0.502
O 0.425 0.250 0.674
O 0.425 0.250 0.174
O 0.574 0.249 0.998
O 0.575 0.750 0.326
Nd 0.260 0.000 0.005
Nd 0.741 0.001 0.496
Nd 0.259 0.999 0.504
Nd 0.260 0.500 0.505
Nd 0.741 0.499 0.996
Nd 0.740 0.500 0.495
Nd 0.740 0.000 0.995
Nd 0.259 0.501 0.004
Ta 0.762 0.750 0.254
Ta 0.238 0.250 0.746
Ta 0.762 0.250 0.258
Ta 0.238 0.750 0.742
Ta 0.238 0.750 0.242
Ta 0.762 0.750 0.754
Ta 0.762 0.250 0.758
Ta 0.238 0.250 0.246
N 0.286 0.000 0.269
N 0.939 0.750 0.190
N 0.062 0.748 0.501
N 0.061 0.250 0.310
N 0.061 0.250 0.810
N 0.286 0.500 0.769
N 0.283 0.500 0.265
N 0.938 0.252 0.499
N 0.939 0.750 0.690
N 0.283 0.000 0.765
N 0.062 0.752 0.001
N 0.714 0.000 0.731
N 0.717 0.500 0.735
N 0.717 0.000 0.235
N 0.938 0.248 0.999
N 0.714 0.500 0.231



Compound: Hf2AgPb3
Source: OQMD via LeMat-Bulk
Functional: GGA-PBE
Structure: optimized geometry

Unit cell a=3.653 b=3.653 c=10.746 alpha=90.00 beta=90.00 gamma=90.00
Positions (direct):
Hf 0.500 0.500 0.504
Hf 0.000 0.000 0.982
Pb 0.000 0.000 0.343
Pb 0.000 0.000 0.683
Pb 0.500 0.500 0.150
Ag 0.500 0.500 0.839



Compound: Zr2NiBi
Source: OQMD via LeMat-Bulk
Functional: GGA-PBE
Structure: optimized geometry

Unit cell a=4.893 b=4.893 c=4.893 alpha=60.00 beta=60.00 gamma=60.00
Site moments in Bohr magnetons follow the coordinates.
Positions (direct):
Ni 0.250 0.250 0.250  0.17
Zr 0.000 0.000 0.000  0.49
Zr 0.750 0.750 0.750  0.62
Bi 0.500 0.500 0.500  -0.02



Compound: GaPbW4C2
Source: OQMD via LeMat-Bulk
Functional: GGA-PBE
Structure: optimized geometry

Unit cell a=3.166 b=3.166 c=13.479 alpha=90.00 beta=90.00 gamma=120.00
Positions (direct):
Pb 0.667 0.333 0.500
C 0.333 0.667 0.763
C 0.333 0.667 0.237
Ga 0.000 0.000 0.000
W 0.000 0.000 0.682
W 0.000 0.000 0.318
W 0.667 0.333 0.849
W 0.667 0.333 0.151



Let's list electronic total energy in order: -6.570 -7.606 -3.848 -5.598 -5.908 -4.147 -8.021 -4.213 -9.561 -5.424 -6.417 -9.320 eV per atom.